# 1
This record from Alexandria describes Al3WCl after structural relaxation. The functional is GGA-PBE.

```
data_Al3WCl
_cell_length_a 5.045
_cell_length_b 5.045
_cell_length_c 5.045
_cell_angle_alpha 90.00
_cell_angle_beta 90.00
_cell_angle_gamma 90.00
_space_group_name_H-M_alt 'P 1'
_space_group_IT_number 1
_space_group_name_Hall 'P 1'
loop_
_atom_site_label
_atom_site_type_symbol
_atom_site_fract_x
_atom_site_fract_y
_atom_site_fract_z
Al1 Al 0.500 0.000 0.000
Cl1 Cl 0.500 0.500 0.500
Al2 Al 0.000 0.000 0.500
W1 W 0.000 0.000 0.000
Al3 Al 0.000 0.500 0.000
```

Its calculated volume is 25.684 Å³ per atom. The calculation puts the formation energy without anion corrections at 71.9 kJ per mole of atoms. As for the distance to the lowest polymorph of the same formula: 0.00 eV/f.u.



# 2
This record from Alexandria describes AlWCl after structural relaxation. The functional is GGA-PBE.

```
data_AlWCl
_cell_length_a 7.383
_cell_length_b 7.383
_cell_length_c 7.383
_cell_angle_alpha 157.59
_cell_angle_beta 157.59
_cell_angle_gamma 31.91
_space_group_name_H-M_alt 'P 1'
_space_group_IT_number 1
_space_group_name_Hall 'P 1'
loop_
_atom_site_label
_atom_site_type_symbol
_atom_site_fract_x
_atom_site_fract_y
_atom_site_fract_z
W1 W 0.674 0.674 0.000
Cl1 Cl 0.289 0.289 0.000
Al1 Al 0.037 0.037 0.000
```

Its calculated volume is 19.484 Å³ per atom. The calculation puts the formation energy without anion corrections at 39.7 kJ per mole of atoms. As for the distance to the lowest polymorph of the same formula: 0.69 eV/f.u.



Total magnetization (computed, μB/atom): 0.37 0.00